# Hf2TiSnAs, optimized geometry, DFT PBE
# - ρ: 8.62 g/cm³
# - Volume: 115.3 Å³/f.u.
# - Energy of formation from the pure elements: 0.04 eV/atom
# - DOS(E_F): 5.84 states/eV/cell
# - Total energy: -36.24 eV per cell
data_Hf2TiSnAs
_cell_length_a 4.981
_cell_length_b 4.981
_cell_length_c 4.648
_cell_angle_alpha 90.00
_cell_angle_beta 90.00
_cell_angle_gamma 90.00
_space_group_name_H-M_alt 'P 4/m m m'
_space_group_IT_number 123
_space_group_name_Hall '-P 4 2'
loop_
_atom_site_label
_atom_site_fract_x
_atom_site_fract_y
_atom_site_fract_z
Hf1 0.000 0.500 0.000
Ti1 0.000 0.000 0.500
Sn1 0.500 0.500 0.500
As1 0.000 0.000 0.000